A plane-wave DFT calculation with PBE was carried out for SrAcSnBr after structural relaxation. Values from VASP.

Space-group type: F-43m (216)
Formation energy without anion corrections, eV per atom: -1.014
Uncorrected energy, eV per cell: -15.52

The structure in Quantum ESPRESSO input format:
```
&SYSTEM
  ibrav = 0, nat = 4, ntyp = 4
/
ATOMIC_SPECIES
Sr 87.62 Sr.upf
Ac 227.00 Ac.upf
Sn 118.71 Sn.upf
Br 79.90 Br.upf
CELL_PARAMETERS angstrom
-2.540 -4.200 -2.987
-0.722 -5.182 2.374
-5.264 -1.784 1.458
ATOMIC_POSITIONS angstrom
Sr -4.263 -5.583 0.423
Ac 0.000 0.000 0.000
Sn -2.132 -2.792 0.211
Br -6.395 -8.375 0.634
```


A plane-wave DFT calculation with PBE was carried out for Ac8Sn3Te4Br after structural relaxation. Values from VASP.

Space-group type: R-3m (166)
Formation energy without anion corrections, eV per atom: -1.221
Uncorrected energy, eV per cell: -78.66

The structure in Quantum ESPRESSO input format:
```
&SYSTEM
  ibrav = 0, nat = 16, ntyp = 4
/
ATOMIC_SPECIES
Sn 118.71 Sn.upf
Te 127.60 Te.upf
Br 79.90 Br.upf
Ac 227.00 Ac.upf
CELL_PARAMETERS angstrom
9.542 0.000 0.000
0.000 9.541 -0.008
-4.771 -4.766 6.751
ATOMIC_POSITIONS angstrom
Sn 2.385 2.387 3.372
Te -2.385 -2.383 3.375
Br 0.000 4.771 -0.004
Sn 4.771 4.771 -0.004
Te 4.771 0.000 0.000
Ac 0.000 0.073 3.423
Ac 7.093 2.416 0.065
Ac -2.322 2.359 6.678
Ac 2.449 2.416 0.065
Ac 2.322 2.359 6.678
Ac 4.771 4.702 3.320
Te 2.385 -2.383 3.375
Ac 0.000 4.679 3.395
Te 0.000 0.000 0.000
Ac 4.771 0.096 3.348
Sn -2.385 2.387 3.372
```


A plane-wave DFT calculation with PBE was carried out for SrAcBr after structural relaxation. Values from VASP.

Energy above the most stable polymorph in this dataset, eV/f.u.: 0.00
Space-group type: P-6m2 (187)
Formation energy without anion corrections, eV per atom: -0.868
Uncorrected energy, eV per cell: -20.13

The structure in Quantum ESPRESSO input format:
```
&SYSTEM
  ibrav = 0, nat = 6, ntyp = 3
/
ATOMIC_SPECIES
Sr 87.62 Sr.upf
Br 79.90 Br.upf
Ac 227.00 Ac.upf
CELL_PARAMETERS angstrom
-3.094 2.623 -0.120
-0.264 -3.346 2.279
6.414 8.146 12.701
ATOMIC_POSITIONS angstrom
Sr -0.255 -0.148 3.365
Br -0.242 3.057 4.460
Sr 3.601 4.750 11.002
Ac 1.673 2.302 7.184
Ac 3.936 8.364 12.734
Br 1.701 5.525 8.308
```


A plane-wave DFT calculation with PBE was carried out for SrAc2Br8 after structural relaxation. Values from VASP.

Space-group type: C2/m (12)
Formation energy without anion corrections, eV per atom: -2.012
Uncorrected energy, eV per cell: -45.41

The structure in Quantum ESPRESSO input format:
```
&SYSTEM
  ibrav = 0, nat = 11, ntyp = 3
/
ATOMIC_SPECIES
Br 79.90 Br.upf
Ac 227.00 Ac.upf
Sr 87.62 Sr.upf
CELL_PARAMETERS angstrom
5.319 0.000 0.000
-2.660 8.635 -1.560
0.000 0.041 9.526
ATOMIC_POSITIONS angstrom
Br 0.000 3.259 4.625
Br 0.000 4.956 7.801
Ac 2.660 4.221 6.267
Br 2.660 5.417 3.341
Sr 2.660 0.000 0.000
Br 2.660 1.281 6.739
Br 0.000 7.395 1.226
Br 2.660 7.291 6.767
Ac 0.000 4.455 1.698
Br 2.660 3.720 0.165
Br 0.000 1.385 1.198
```


A plane-wave DFT calculation with PBE was carried out for SrAcBr after structural relaxation. Values from VASP.

Energy above the most stable polymorph in this dataset, eV/f.u.: 0.02
Space-group type: P3m1 (156)
Formation energy without anion corrections, eV per atom: -0.862
Uncorrected energy, eV per cell: -10.05

The structure in Quantum ESPRESSO input format:
```
&SYSTEM
  ibrav = 0, nat = 3, ntyp = 3
/
ATOMIC_SPECIES
Ac 227.00 Ac.upf
Br 79.90 Br.upf
Sr 87.62 Sr.upf
CELL_PARAMETERS angstrom
4.130 0.000 0.000
-2.065 3.577 0.000
0.000 0.000 8.150
ATOMIC_POSITIONS angstrom
Ac 0.000 0.000 7.884
Br 0.000 2.384 5.380
Sr 2.065 1.192 3.036
```


A plane-wave DFT calculation with PBE was carried out for SrAcBr6 after structural relaxation. Values from VASP.

Space-group type: P-1 (2)
Formation energy without anion corrections, eV per atom: -1.650
Uncorrected energy, eV per cell: -29.03

The structure in Quantum ESPRESSO input format:
```
&SYSTEM
  ibrav = 0, nat = 8, ntyp = 3
/
ATOMIC_SPECIES
Br 79.90 Br.upf
Ac 227.00 Ac.upf
Sr 87.62 Sr.upf
CELL_PARAMETERS angstrom
-1.924 6.230 1.801
-4.679 4.682 -4.113
-8.212 1.204 3.138
ATOMIC_POSITIONS angstrom
Br -6.881 6.184 -2.590
Br -4.565 4.985 0.816
Br -6.402 8.913 0.040
Ac -7.407 6.058 0.413
Br -10.249 7.131 0.010
Br -8.412 3.202 0.786
Sr 0.000 0.000 0.000
Br -7.933 5.932 3.415
```